This record from Alexandria via LeMat-Bulk describes an optimized crystal structure of BeRe2P. The functional is PBE.

E_form (eV/atom): 0.19
Calculated density (g cm⁻³): 13.459
Space-group type: No. 119
Energy above the most stable polymorph in this dataset (eV/atom): 0.4668

Cell lengths 4.7305, 4.7305, 4.7305 Å; angles 135.72, 135.72, 64.41 degrees
Sites, in units of the cell vectors:
Re1 0.0000 0.0000 0.0000
Re2 0.2500 0.7500 0.5000
Be1 0.5000 0.5000 0.0000
P1 0.7500 0.2500 0.5000

=====

This record from Alexandria via LeMat-Bulk describes an optimized crystal structure of Pr4AsPbSe2. The functional is PBE.

Energy relative to the elements, uncorrected (eV/atom): -1.446
Calculated density (g cm⁻³): 7.028
Space-group type: No. 10

Cell lengths 4.3801, 7.5550, 7.6034 Å; angles 70.47, 90.00, 90.00 degrees
Sites, in units of the cell vectors:
Pb1 0.5000 0.5000 0.0000
As1 0.0000 0.5000 0.5000
Se1 0.0000 0.0000 0.0000
Se2 0.5000 0.0000 0.5000
Pr1 0.5000 0.2541 0.7403
Pr2 0.5000 0.7459 0.2597
Pr3 0.0000 0.7542 0.7398
Pr4 0.0000 0.2458 0.2602

=====

This record from Alexandria via LeMat-Bulk describes an optimized crystal structure of LaZnB. The functional is PBE.

E_form (eV/atom): 0.22
Calculated density (g cm⁻³): 6.367
Space-group type: No. 10
Energy above the most stable polymorph in this dataset (eV/atom): 0.5260

Cell lengths 4.8776, 3.3251, 7.3331 Å; angles 90.00, 109.37, 90.00 degrees
Sites, in units of the cell vectors:
B1 0.8629 0.0000 0.2251
B2 0.1371 0.0000 0.7749
La1 0.3254 0.5000 0.1508
La2 0.6746 0.5000 0.8492
Zn1 0.7566 0.0000 0.4998
Zn2 0.2434 0.0000 0.5002

=====

This record from Alexandria via LeMat-Bulk describes an optimized crystal structure of KLaMn2. The functional is PBE.

E_form (eV/atom): 0.87
Calculated density (g cm⁻³): 4.307
Space-group type: No. 225
Energy above the most stable polymorph in this dataset (eV/atom): 0.3797

Cell lengths 5.3944, 5.3944, 5.3944 Å; angles 60.00, 60.00, 60.00 degrees
Last column: magnetic moment on the atom in μB.
Sites, in units of the cell vectors:
K1 0.0000 0.0000 0.0000  -0.03
La1 0.5000 0.5000 0.5000  -0.39
Mn1 0.2500 0.2500 0.2500  3.84
Mn2 0.7500 0.7500 0.7500  3.84